# 1
This record from Alexandria via LeMat-Bulk describes crystalline K12TlAu5 at its relaxed geometry. The functional is GGA-PBE.

Cell and atoms, written as POSCAR:
```
K12TlAu5
1.0
-5.484 5.531 6.204
5.484 -5.531 6.204
5.484 5.531 -6.204
K Tl Au
12 1 5
Cartesian
5.484 -3.634 4.321
3.472 0.000 3.078
7.497 0.000 3.078
3.579 3.144 0.000
7.390 3.144 0.000
0.000 1.897 1.883
5.484 3.634 4.321
-1.905 2.387 6.204
1.905 2.387 6.204
-2.012 5.531 3.126
2.012 5.531 3.126
0.000 9.165 1.883
0.000 5.531 0.000
2.394 0.000 0.000
5.484 0.000 0.000
8.575 0.000 0.000
0.000 0.000 4.733
0.000 0.000 7.675
```

Summary:
- ΔH_f (0 K) (meV per atom) = -203.3


# 2
This record from Alexandria via LeMat-Bulk describes crystalline Y3Ga3Si at its relaxed geometry. The functional is GGA-PBE.

Cell and atoms, written as POSCAR:
```
Y3Ga3Si
1.0
-2.036 2.120 9.057
2.036 -2.120 9.057
2.036 2.120 -9.057
Y Ga Si
3 3 1
Cartesian
0.000 0.000 0.000
2.036 0.000 3.264
0.000 0.000 6.664
0.000 0.000 9.725
0.000 2.120 4.515
0.000 0.000 15.032
0.000 2.120 2.118
```

Summary:
- formation energy without anion corrections (eV per atom) = -0.700


# 3
This record from Alexandria via LeMat-Bulk describes crystalline La2InSe4 at its relaxed geometry. The functional is GGA-PBE.

Cell and atoms, written as POSCAR:
```
La2InSe4
1.0
7.223 0.000 0.000
0.000 7.341 0.000
-1.915 0.000 8.016
La In Se
4 2 8
Cartesian
1.287 1.835 0.364
0.507 1.835 4.346
4.801 5.506 3.670
4.021 5.506 7.651
0.239 5.506 6.790
5.069 1.835 1.226
-0.364 3.785 2.101
-0.364 7.226 2.101
2.266 5.506 5.140
1.883 1.835 6.901
3.425 5.506 1.115
3.042 1.835 2.876
5.671 0.115 5.914
5.671 3.556 5.914
```

Summary:
- formation energy without anion corrections (eV per atom) = -1.383